# 1
VASP calculation (PBE) on Tb2Pm7Mg2 after structural relaxation.

a = 11.882 Å, b = 11.144 Å, c = 5.843 Å
α = 90.00°, β = 111.63°, γ = 90.00°
Space group C2/m (No. 12)
Unique sites:
Tb  0.000  0.221  0.000 x4
Pm  0.000  0.000  0.500 x2
Pm  0.193  0.208  0.687 x8
Pm  0.233  0.000  0.162 x4
Mg  0.061  0.500  0.280 x4

Values from the calculation:
**Crystal system**: monoclinic
**Raw total energy**: -44.2 eV per formula unit
**Calculated density**: 6.4 g cm⁻³
**Size of the total moment**: 0.0 μB per formula unit
**ΔE_f**: 1.51 eV/f.u.



# 2
VASP calculation (PBE) on Pm6MgSc2 after structural relaxation.

a = 10.373 Å, b = 10.373 Å, c = 5.186 Å
α = 90.00°, β = 90.00°, γ = 90.00°
Space group P4_2/mnm (No. 136)
Unique sites:
Pm  0.018  0.327  0.000 x8
Pm  0.142  0.858  0.500 x4
Mg  0.000  0.000  0.000 x2
Sc  0.190  0.190  0.500 x4

Values from the calculation:
**Crystal system**: tetragonal
**Raw total energy**: -42.4 eV per formula unit
**Calculated density**: 5.9 g cm⁻³
**Size of the total moment**: 0.0 μB per formula unit
**ΔE_f**: 0.41 eV/f.u.



# 3
VASP calculation (PBE) on Ca2Au3 after structural relaxation.

a = 4.6647 Å, b = 4.6647 Å, c = 20.1768 Å
α = 90.00°, β = 90.00°, γ = 120.00°
Space group R-3m (No. 166, hexagonal axes)
Unique sites:
Ca  0.0000  0.0000  0.0896 x6
Au  0.0000  0.0000  0.3498 x6
Au  0.0000  0.0000  0.5000 x3

Values from the calculation:
**Crystal system**: trigonal
**Raw total energy**: -17.3 eV per formula unit
**Calculated density**: 8.8 g cm⁻³
**Size of the total moment**: 0.0 μB per formula unit
**ΔE_f**: -3.48 eV/f.u.



# 4
VASP calculation (PBE) on Ca3Pu5O12 after structural relaxation.

a = 13.760 Å, b = 13.760 Å, c = 13.760 Å
α = 90.00°, β = 90.00°, γ = 90.00°
Space group Ia-3d (No. 230)
Unique sites:
Ca  0.000  0.250  0.125 x24
Pu  0.000  0.000  0.000 x16
Pu  0.000  0.250  0.375 x24
O  0.022  0.058  0.650 x96

Values from the calculation:
**Crystal system**: cubic
**Raw total energy**: -194.4 eV per formula unit
**Calculated density**: 7.8 g cm⁻³
**Size of the total moment**: 22.0 μB per formula unit
**Raw formation energy**: -2.861 eV per atom



# 5
VASP calculation (PBE) on BeSi4Sb after structural relaxation.

a = 7.349 Å, b = 7.349 Å, c = 7.349 Å
α = 90.00°, β = 90.00°, γ = 90.00°
Space group F-43m (No. 216)
Unique sites:
Be  0.000  0.000  0.000 x4
Si  0.127  0.127  0.373 x16
Sb  0.250  0.250  0.750 x4

Values from the calculation:
**Crystal system**: cubic
**Raw total energy**: -25.1 eV per formula unit
**Calculated density**: 4.1 g cm⁻³
**Size of the total moment**: 0.0 μB per formula unit
**Raw formation energy**: 0.733 eV per atom



# 6
VASP calculation (PBE) on Ce5Tc2Os2 after structural relaxation.

a = 17.243 Å, b = 6.595 Å, c = 7.196 Å
α = 90.00°, β = 90.00°, γ = 90.00°
Space group Ima2 (No. 46)
Unique sites:
Ce  0.074  0.172  0.000 x8
Ce  0.150  0.679  0.111 x8
Ce  0.250  0.123  0.258 x4
Tc  0.072  0.591  0.821 x8
Os  0.000  0.000  0.704 x4
Os  0.250  0.003  0.911 x4

Values from the calculation:
**Crystal system**: orthorhombic
**Raw total energy**: -73.4 eV per formula unit
**Calculated density**: 10.4 g cm⁻³
**Size of the total moment**: 0.0 μB per formula unit
**ΔE_f**: -0.50 eV/f.u.